Record 1
DFT (GGA-PBE) results for a relaxed structure of TlTeAu2.

Computed properties:
N(E_F)	1.43	states/eV/f.u.
polymorph energy (0 for the lowest one)	115	meV/atom
formation energy from raw total energies	0.099	eV per atom
DFT total energy	-2.92	eV/atom

Cell lengths 4.004, 4.059, 6.424 Å; angles 90.00, 90.00, 90.00 degrees
Atoms (fractional coordinates):
Tl 0.000 0.000 0.000
Te 0.000 0.500 0.500
Au 0.500 0.000 0.500
Au 0.500 0.500 0.000

=====

Record 2
DFT (GGA-PBE) results for a relaxed structure of Tm5Ni2Ag.

Computed properties:
N(E_F)	8.24	states/eV/f.u.
DFT total energy	-4.94	eV/atom

Cell lengths 8.387, 8.387, 8.387 Å; angles 126.67, 126.67, 78.79 degrees
Atoms (fractional coordinates):
Tm 0.000 0.000 0.000
Tm 0.024 0.524 0.821
Tm 0.203 0.024 0.500
Tm 0.297 0.797 0.821
Tm 0.476 0.297 0.500
Tm 0.500 0.500 0.000
Tm 0.524 0.703 0.500
Tm 0.703 0.203 0.179
Tm 0.797 0.976 0.500
Tm 0.976 0.476 0.179
Ni 0.129 0.371 0.500
Ni 0.371 0.871 0.241
Ni 0.629 0.129 0.759
Ni 0.871 0.629 0.500
Ag 0.250 0.250 0.000
Ag 0.750 0.750 0.000

=====

Record 3
DFT (GGA-PBE) results for a relaxed structure of PmPrSm2As4.

Computed properties:
N(E_F)	0.71	states/eV/f.u.
DFT total energy	-6.22	eV/atom

Cell lengths 7.349, 4.247, 7.350 Å; angles 90.00, 109.46, 90.00 degrees
Atoms (fractional coordinates):
Pm 0.000 0.000 0.000
Pr 0.000 0.500 0.500
Sm 0.500 0.000 0.500
Sm 0.500 0.500 0.000
As 0.253 0.500 0.249
As 0.254 0.000 0.753
As 0.746 0.000 0.247
As 0.747 0.500 0.751

=====

Record 4
DFT (GGA-PBE) results for a relaxed structure of GeIrSeN2.

Computed properties:
N(E_F)	2.58	states/eV/f.u.
polymorph energy (0 for the lowest one)	650	meV/atom
formation energy from raw total energies	1.471	eV per atom
DFT total energy	-5.25	eV/atom

Cell lengths 3.569, 3.569, 8.461 Å; angles 90.00, 90.00, 90.00 degrees
Atoms (fractional coordinates):
Ge 0.000 0.000 0.000
Ir 0.500 0.500 0.500
Se 0.000 0.000 0.500
N 0.000 0.500 0.000
N 0.500 0.000 0.000

=====

Record 5
DFT (GGA-PBE) results for a relaxed structure of Sm5DyPb4.

Computed properties:
N(E_F)	7.37	states/eV/f.u.
DFT total energy	-4.66	eV/atom

Cell lengths 8.737, 8.737, 7.316 Å; angles 90.36, 90.36, 36.25 degrees
Atoms (fractional coordinates):
Sm 0.000 0.000 0.000
Sm 0.333 0.333 0.493
Sm 0.334 0.334 0.005
Sm 0.666 0.666 0.995
Sm 0.667 0.667 0.507
Dy 0.000 0.000 0.500
Pb 0.175 0.175 0.749
Pb 0.491 0.491 0.747
Pb 0.509 0.509 0.253
Pb 0.825 0.825 0.251

=====

Record 6
DFT (GGA-PBE) results for a relaxed structure of Ca2TlCdRh.

Computed properties:
N(E_F)	2.91	states/eV/f.u.
polymorph energy (0 for the lowest one)	0	meV/atom
DFT total energy	-3.15	eV/atom

Cell lengths 5.413, 5.413, 5.263 Å; angles 90.00, 90.00, 90.00 degrees
Atoms (fractional coordinates):
Ca 0.000 0.500 0.000
Ca 0.500 0.000 0.000
Tl 0.000 0.000 0.500
Cd 0.500 0.500 0.500
Rh 0.000 0.000 0.000

=====

Record 7
DFT (GGA-PBE) results for a relaxed structure of MnHgRuS.

Computed properties:
N(E_F)	3.40	states/eV/f.u.
polymorph energy (0 for the lowest one)	83	meV/atom
formation energy from raw total energies	0.166	eV per atom
DFT total energy	-5.55	eV/atom

Cell lengths 3.569, 3.569, 6.760 Å; angles 102.66, 102.66, 48.66 degrees
Atoms (fractional coordinates):
Mn 0.000 0.000 0.000
Hg 0.263 0.263 0.673
Ru 0.500 0.500 0.336
S 0.743 0.743 0.148

=====

Record 8
DFT (GGA-PBE) results for a relaxed structure of BaMg2AlZn4.

Computed properties:
N(E_F)	3.40	states/eV/f.u.
DFT total energy	-1.84	eV/atom

Cell lengths 10.270, 10.270, 10.270 Å; angles 25.75, 25.75, 25.75 degrees
Atoms (fractional coordinates):
Ba 0.000 0.000 0.000
Mg 0.231 0.231 0.231
Mg 0.769 0.769 0.769
Al 0.500 0.500 0.500
Zn 0.131 0.131 0.131
Zn 0.409 0.409 0.409
Zn 0.591 0.591 0.591
Zn 0.869 0.869 0.869

=====

Record 9
DFT (GGA-PBE) results for a relaxed structure of TaFe2Ni.

Computed properties:
N(E_F)	5.84	states/eV/f.u.
DFT total energy	-8.63	eV/atom

Cell lengths 4.153, 4.153, 4.153 Å; angles 60.00, 60.00, 60.00 degrees
Atoms (fractional coordinates):
Ta 0.000 0.000 0.000
Fe 0.250 0.250 0.250
Fe 0.750 0.750 0.750
Ni 0.500 0.500 0.500

=====

Record 10
DFT (GGA-PBE) results for a relaxed structure of Pa2GaAg.

Computed properties:
N(E_F)	6.85	states/eV/f.u.
polymorph energy (0 for the lowest one)	10	meV/atom
DFT total energy	-6.25	eV/atom

Cell lengths 3.123, 3.123, 8.939 Å; angles 90.00, 90.00, 90.00 degrees
Atoms (fractional coordinates):
Pa 0.000 0.000 0.241
Pa 0.000 0.000 0.759
Ga 0.500 0.500 0.000
Ag 0.500 0.500 0.500

=====

Record 11
DFT (GGA-PBE) results for a relaxed structure of Tb2TiH.

Computed properties:
N(E_F)	3.02	states/eV/f.u.
polymorph energy (0 for the lowest one)	0	meV/atom
DFT total energy	-4.97	eV/atom

Cell lengths 3.201, 3.201, 7.764 Å; angles 90.00, 90.00, 90.00 degrees
Atoms (fractional coordinates):
Tb 0.000 0.000 0.217
Tb 0.000 0.000 0.783
Ti 0.500 0.500 0.500
H 0.500 0.500 0.000

=====

Record 12
DFT (GGA-PBE) results for a relaxed structure of Th4SbRu2.

Computed properties:
N(E_F)	4.55	states/eV/f.u.
polymorph energy (0 for the lowest one)	219	meV/atom
formation energy from raw total energies	-0.366	eV per atom
DFT total energy	-7.84	eV/atom

Cell lengths 8.353, 8.353, 8.353 Å; angles 118.72, 106.27, 103.85 degrees
Atoms (fractional coordinates):
Th 0.233 0.276 0.543
Th 0.233 0.689 0.957
Th 0.306 0.246 0.059
Th 0.313 0.754 0.559
Th 0.687 0.246 0.441
Th 0.694 0.754 0.941
Th 0.767 0.311 0.043
Th 0.767 0.724 0.457
Sb 0.045 0.795 0.250
Sb 0.955 0.205 0.750
Ru 0.000 0.500 0.500
Ru 0.500 0.000 0.000
Ru 0.500 0.500 0.000
Ru 0.500 0.500 0.500

=====

Record 13
DFT (GGA-PBE) results for a relaxed structure of CsNaHf2.

Computed properties:
N(E_F)	8.08	states/eV/f.u.
polymorph energy (0 for the lowest one)	37	meV/atom
DFT total energy	-3.92	eV/atom

Cell lengths 5.386, 5.386, 5.386 Å; angles 60.00, 60.00, 60.00 degrees
Atoms (fractional coordinates):
Cs 0.000 0.000 0.000
Na 0.500 0.500 0.500
Hf 0.250 0.250 0.250
Hf 0.750 0.750 0.750

=====

Record 14
DFT (GGA-PBE) results for a relaxed structure of B2Te2O.

Computed properties:
N(E_F)	1.99	states/eV/f.u.
polymorph energy (0 for the lowest one)	0	meV/atom
formation energy from raw total energies	0.415	eV per atom
DFT total energy	-4.50	eV/atom

Cell lengths 6.864, 6.864, 3.566 Å; angles 90.00, 90.00, 90.00 degrees
Atoms (fractional coordinates):
B 0.082 0.418 0.000
B 0.418 0.918 0.000
B 0.582 0.082 0.000
B 0.918 0.582 0.000
Te 0.222 0.278 0.500
Te 0.278 0.778 0.500
Te 0.722 0.222 0.500
Te 0.778 0.722 0.500
O 0.000 0.000 0.500
O 0.500 0.500 0.500

=====

Record 15
DFT (GGA-PBE) results for a relaxed structure of InFe2Br6Cl2.

Computed properties:
N(E_F)	2.37	states/eV/f.u.
formation energy from raw total energies	-0.616	eV per atom
DFT total energy	-3.65	eV/atom

Cell lengths 6.880, 6.880, 9.654 Å; angles 90.00, 90.00, 120.00 degrees
Atoms (fractional coordinates):
In 0.000 0.000 0.000
Fe 0.333 0.667 0.746
Fe 0.667 0.333 0.254
Br 0.006 0.673 0.830
Br 0.327 0.333 0.830
Br 0.333 0.006 0.170
Br 0.667 0.994 0.830
Br 0.673 0.667 0.170
Br 0.994 0.327 0.170
Cl 0.333 0.667 0.525
Cl 0.667 0.333 0.475

=====

Record 16
DFT (GGA-PBE) results for a relaxed structure of KPa2F9.

Computed properties:
N(E_F)	6.28	states/eV/f.u.
formation energy from raw total energies	-3.567	eV per atom
DFT total energy	-6.65	eV/atom

Cell lengths 7.919, 7.919, 3.602 Å; angles 90.00, 90.00, 120.00 degrees
Atoms (fractional coordinates):
K 0.000 0.000 0.000
Pa 0.333 0.667 0.000
Pa 0.667 0.333 0.000
F 0.000 0.500 0.000
F 0.219 0.438 0.500
F 0.219 0.781 0.500
F 0.438 0.219 0.500
F 0.500 0.000 0.000
F 0.500 0.500 0.000
F 0.562 0.781 0.500
F 0.781 0.219 0.500
F 0.781 0.562 0.500

=====

Record 17
DFT (GGA-PBE) results for a relaxed structure of GdDy2Sn.

Computed properties:
N(E_F)	4.73	states/eV/f.u.
polymorph energy (0 for the lowest one)	0	meV/atom
DFT total energy	-7.25	eV/atom

Cell lengths 4.842, 4.842, 4.775 Å; angles 90.00, 90.00, 90.00 degrees
Atoms (fractional coordinates):
Gd 0.000 0.000 0.000
Dy 0.000 0.500 0.500
Dy 0.500 0.000 0.500
Sn 0.500 0.500 0.000

=====

Record 18
DFT (GGA-PBE) results for a relaxed structure of CeY5Ho4.

Computed properties:
N(E_F)	16.76	states/eV/f.u.
polymorph energy (0 for the lowest one)	176	meV/atom
DFT total energy	-5.37	eV/atom

Cell lengths 7.995, 7.995, 7.995 Å; angles 97.77, 97.77, 136.86 degrees
Atoms (fractional coordinates):
Ce 0.000 0.000 0.000
Y 0.465 0.465 0.000
Y 0.573 0.573 0.627
Y 0.573 0.947 0.000
Y 0.947 0.573 0.000
Y 0.947 0.947 0.373
Ho 0.257 0.584 0.327
Ho 0.257 0.929 0.673
Ho 0.584 0.257 0.327
Ho 0.929 0.257 0.673

=====

Record 19
DFT (GGA-PBE) results for a relaxed structure of Er2PuGa.

Computed properties:
N(E_F)	9.93	states/eV/f.u.
polymorph energy (0 for the lowest one)	95	meV/atom
DFT total energy	-6.74	eV/atom

Cell lengths 10.367, 10.367, 10.367 Å; angles 19.38, 19.38, 19.38 degrees
Atoms (fractional coordinates):
Er 0.239 0.239 0.239
Er 0.761 0.761 0.761
Pu 0.000 0.000 0.000
Ga 0.500 0.500 0.500

=====

Record 20
DFT (GGA-PBE) results for a relaxed structure of Hf7Zr3.

Computed properties:
N(E_F)	9.93	states/eV/f.u.
polymorph energy (0 for the lowest one)	166	meV/atom
DFT total energy	-9.32	eV/atom

Cell lengths 9.824, 9.824, 5.520 Å; angles 90.00, 90.00, 120.00 degrees
Atoms (fractional coordinates):
Hf 0.055 0.528 0.000
Hf 0.110 0.220 0.156
Hf 0.110 0.890 0.156
Hf 0.220 0.110 0.656
Hf 0.333 0.667 0.294
Hf 0.472 0.528 0.000
Hf 0.472 0.945 0.000
Hf 0.528 0.055 0.500
Hf 0.528 0.472 0.500
Hf 0.667 0.333 0.794
Hf 0.780 0.890 0.156
Hf 0.890 0.110 0.656
Hf 0.890 0.780 0.656
Hf 0.945 0.472 0.500
Zr 0.207 0.415 0.644
Zr 0.207 0.793 0.644
Zr 0.415 0.207 0.144
Zr 0.585 0.793 0.644
Zr 0.793 0.207 0.144
Zr 0.793 0.585 0.144